# 1
DFT (PBE-GGA) results for a relaxed structure of Ho2MgAu.

Values from the calculation:
SG	Fm-3m
energy of formation	-0.4140	eV per atom

```
Ho2MgAu
1.0
0.000 3.656 3.656
3.656 0.000 3.656
3.656 3.656 0.000
Ho Mg Au
2 1 1
direct
0.250 0.250 0.250 Ho
0.750 0.750 0.750 Ho
0.000 0.000 0.000 Mg
0.500 0.500 0.500 Au
```


# 2
DFT (PBE-GGA) results for a relaxed structure of HoMgAu4.

Values from the calculation:
SG	Amm2
energy of formation	-0.4480	eV per atom

```
HoMgAu4
1.0
7.117 0.000 0.000
0.000 3.118 3.105
0.000 -3.118 3.105
Ho Mg Au
1 1 4
direct
0.000 0.000 0.000 Ho
0.500 0.499 0.499 Mg
0.274 0.500 0.999 Au
0.274 0.999 0.500 Au
0.726 0.500 0.999 Au
0.726 0.999 0.500 Au
```